(1)
! TaTc4Ir | Alexandria | PBE-GGA | optimized geometry; values from VASP
&SYSTEM
  ibrav = 0, nat = 6, ntyp = 3
/
ATOMIC_SPECIES
Ta 180.95 Ta.upf
Tc 98.00 Tc.upf
Ir 192.22 Ir.upf
CELL_PARAMETERS angstrom
0.000 3.602 3.602
3.602 0.000 3.602
3.602 3.602 0.000
ATOMIC_POSITIONS crystal
Ta 0.000 0.000 0.000
Tc 0.871 0.376 0.376
Tc 0.376 0.376 0.871
Tc 0.376 0.871 0.376
Tc 0.376 0.376 0.376
Ir 0.750 0.750 0.750
! SG: F-43m (216)
! Total moment (μB/f.u.): 0.00
! DFT formation energy (meV per atom): 51

(2)
! Ho6Hg2N | Alexandria | PBE-GGA | optimized geometry; values from VASP
&SYSTEM
  ibrav = 0, nat = 18, ntyp = 3
/
ATOMIC_SPECIES
Ho 164.93 Ho.upf
Hg 200.59 Hg.upf
N 14.01 N.upf
CELL_PARAMETERS angstrom
-3.968 4.360 3.485
-5.319 -4.193 -0.810
2.287 -4.477 8.152
ATOMIC_POSITIONS crystal
Ho 0.923 0.000 0.257
Ho 0.756 0.755 0.540
Ho 0.744 0.746 0.960
Ho 0.756 0.246 0.540
Ho 0.744 0.255 0.960
Ho 0.577 0.500 0.243
Ho 0.077 0.000 0.743
Ho 0.244 0.245 0.460
Ho 0.256 0.254 0.040
Ho 0.244 0.754 0.460
Ho 0.256 0.745 0.040
Ho 0.423 0.500 0.757
Hg 0.993 0.500 0.749
Hg 0.507 0.000 0.751
Hg 0.493 0.000 0.249
Hg 0.007 0.500 0.251
N 0.500 0.500 0.000
N 0.000 0.000 0.500
! SG: C2/m (12)
! Total moment (μB/f.u.): 0.00
! Formation energy (no corrections) (eV/f.u.): -5.43

(3)
! CsLaMnSe3 | Alexandria | PBE-GGA | optimized geometry; values from VASP
&SYSTEM
  ibrav = 0, nat = 12, ntyp = 4
/
ATOMIC_SPECIES
Cs 132.91 Cs.upf
La 138.91 La.upf
Mn 54.94 Mn.upf
Se 78.96 Se.upf
CELL_PARAMETERS angstrom
4.890 0.000 0.000
-2.445 8.115 0.062
0.000 -2.282 9.127
ATOMIC_POSITIONS crystal
Cs 0.363 0.726 0.941
Cs 0.637 0.274 0.059
La 0.651 0.301 0.564
La 0.349 0.699 0.436
Mn 0.002 0.003 0.394
Mn 0.998 0.997 0.606
Se 0.855 0.710 0.242
Se 0.848 0.695 0.635
Se 0.502 0.004 0.312
Se 0.152 0.305 0.365
Se 0.498 0.996 0.688
Se 0.145 0.290 0.758
! SG: C2/m (12)
! Total moment (μB/f.u.): 1.00
! Formation energy (no corrections) (eV/f.u.): -7.21

(4)
! BaInO2 | Alexandria | PBE-GGA | optimized geometry; values from VASP
&SYSTEM
  ibrav = 0, nat = 4, ntyp = 3
/
ATOMIC_SPECIES
Ba 137.33 Ba.upf
O 16.00 O.upf
In 114.82 In.upf
CELL_PARAMETERS angstrom
-5.510 4.498 0.928
-3.392 4.620 4.314
-2.203 6.731 1.136
ATOMIC_POSITIONS crystal
Ba 0.500 0.500 0.500
O 0.901 0.901 0.901
O 0.099 0.099 0.099
In 0.000 0.000 0.000
! SG: R-3m (166)
! Total moment (μB/f.u.): 0.00
! Formation energy (no corrections) (eV/f.u.): -6.51